Entry 1:
Computed, not measured: Ge3P6H42N12O25 after structural relaxation at the GGA-PBEsol level of DFT.

Lattice parameters (Å, degrees): 9.3066 9.3066 10.2998 99.14 99.14 111.47
Fractional coordinates of all 88 atoms:
Ge1 0.0000 0.0000 0.0000
Ge2 0.3335 0.6665 0.0000
Ge3 0.6665 0.3335 0.0000
P1 0.1210 0.7876 0.8035
P2 0.2124 0.8790 0.1965
P3 0.4551 0.4551 0.8035
P4 0.5449 0.5449 0.1965
P5 0.7876 0.1210 0.8035
P6 0.8790 0.2124 0.1965
H1 0.0061 0.3357 0.6883
H2 0.0087 0.3384 0.5185
H3 0.0706 0.5101 0.6404
H4 0.0886 0.4221 0.9850
H5 0.1003 0.2124 0.8765
H6 0.1206 0.5661 0.1231
H7 0.1525 0.2643 0.3608
H8 0.1805 0.3959 0.6393
H9 0.2124 0.1003 0.8765
H10 0.2325 0.4536 0.1229
H11 0.2444 0.2444 0.0145
H12 0.2643 0.1525 0.3608
H13 0.3243 0.3243 0.4818
H14 0.3267 0.3267 0.3117
H15 0.3357 0.0061 0.6883
H16 0.3384 0.0087 0.5185
H17 0.3959 0.1805 0.6393
H18 0.4221 0.0886 0.9850
H19 0.4339 0.8794 0.8769
H20 0.4536 0.2325 0.1229
H21 0.4899 0.9294 0.3596
H22 0.5101 0.0706 0.6404
H23 0.5464 0.7675 0.8771
H24 0.5661 0.1206 0.1231
H25 0.5779 0.9114 0.0150
H26 0.6041 0.8195 0.3607
H27 0.6616 0.9913 0.4815
H28 0.6643 0.9939 0.3117
H29 0.6733 0.6733 0.6883
H30 0.6757 0.6757 0.5182
H31 0.7357 0.8475 0.6392
H32 0.7556 0.7556 0.9855
H33 0.7675 0.5464 0.8771
H34 0.7876 0.8997 0.1235
H35 0.8195 0.6041 0.3607
H36 0.8475 0.7357 0.6392
H37 0.8794 0.4339 0.8769
H38 0.8997 0.7876 0.1235
H39 0.9114 0.5779 0.0150
H40 0.9294 0.4899 0.3596
H41 0.9913 0.6616 0.4815
H42 0.9939 0.6643 0.3117
N1 0.0657 0.3945 0.6204
N2 0.1583 0.1583 0.9340
N3 0.1748 0.5081 0.0655
N4 0.2679 0.2679 0.3799
N5 0.3945 0.0657 0.6204
N6 0.4919 0.8252 0.9345
N7 0.5081 0.1748 0.0655
N8 0.6055 0.9343 0.3796
N9 0.7321 0.7321 0.6201
N10 0.8252 0.4919 0.9345
N11 0.8417 0.8417 0.0660
N12 0.9343 0.6055 0.3796
O1 0.0000 0.0000 0.5000
O2 0.0020 0.1714 0.1280
O3 0.0360 0.7022 0.6560
O4 0.0615 0.7279 0.1792
O5 0.1619 0.6646 0.8721
O6 0.1714 0.0020 0.1280
O7 0.2721 0.9385 0.8208
O8 0.2978 0.9640 0.3440
O9 0.3319 0.4958 0.8719
O10 0.3354 0.8381 0.1279
O11 0.3704 0.3704 0.6559
O12 0.3938 0.3938 0.1789
O13 0.4958 0.3319 0.8719
O14 0.5042 0.6681 0.1281
O15 0.6062 0.6062 0.8211
O16 0.6296 0.6296 0.3441
O17 0.6646 0.1619 0.8721
O18 0.6681 0.5042 0.1281
O19 0.7022 0.0360 0.6560
O20 0.7279 0.0615 0.1792
O21 0.8286 0.9980 0.8720
O22 0.8381 0.3354 0.1279
O23 0.9385 0.2721 0.8208
O24 0.9640 0.2978 0.3440
O25 0.9980 0.8286 0.8720

Calculated values
- magnetization (μB per cell) = 1.93
- SG = C2/m, No. 12
- total energy (eV/atom) = -5.881

---

Entry 2:
Computed, not measured: GeH2PtN after structural relaxation at the GGA-PBEsol level of DFT.

Lattice parameters (Å, degrees): 3.4114 3.4114 4.2906 90.00 90.00 90.00
Fractional coordinates of all 5 atoms:
Ge1 0.0000 0.0000 0.0000
H1 0.0000 0.5000 0.5000
H2 0.5000 0.0000 0.5000
Pt1 0.5000 0.5000 0.5000
N1 0.5000 0.5000 0.0000

Calculated values
- magnetization (μB per cell) = 0.00
- SG = P4/mmm, No. 123
- total energy (eV/atom) = -4.948

---

Entry 3:
Computed, not measured: GeH10Se3N4 after structural relaxation at the GGA-PBEsol level of DFT.

Lattice parameters (Å, degrees): 14.0949 14.0949 14.0949 125.60 125.60 80.54
Fractional coordinates of all 144 atoms:
Ge1 0.0000 0.0000 0.0000
Ge2 0.1506 0.1506 0.0000
Ge3 0.2500 0.7500 0.5000
Ge4 0.4006 0.9006 0.5000
Ge5 0.5000 0.5000 0.0000
Ge6 0.6506 0.6506 0.0000
Ge7 0.7500 0.2500 0.5000
Ge8 0.9006 0.4006 0.5000
H1 0.0175 0.5100 0.2987
H2 0.0278 0.6241 0.8593
H3 0.0696 0.7477 0.0263
H4 0.1056 0.1157 0.5041
H5 0.1117 0.6157 0.0101
H6 0.1268 0.1385 0.6940
H7 0.1369 0.6474 0.7148
H8 0.1721 0.3869 0.9895
H9 0.1758 0.0195 0.6177
H10 0.1783 0.5709 0.1716
H11 0.1829 0.3768 0.4884
H12 0.2113 0.7188 0.7013
H13 0.2214 0.2477 0.6782
H14 0.2211 0.5709 0.6505
H15 0.2567 0.1493 0.3284
H16 0.2600 0.4613 0.9925
H17 0.2648 0.1241 0.5964
H18 0.2695 0.9258 0.1177
H19 0.2773 0.6457 0.1928
H20 0.2933 0.4714 0.4737
H21 0.3081 0.4258 0.6563
H22 0.3209 0.1704 0.8498
H23 0.3206 0.4711 0.1502
H24 0.3209 0.6493 0.8926
H25 0.3346 0.2029 0.3072
H26 0.3515 0.3556 0.4899
H27 0.3657 0.8556 0.0041
H28 0.3741 0.0148 0.0964
H29 0.3885 0.8768 0.1940
H30 0.3957 0.7029 0.8683
H31 0.3974 0.1826 0.0105
H32 0.3993 0.0067 0.8284
H33 0.4018 0.5581 0.3823
H34 0.4184 0.5148 0.6407
H35 0.4204 0.0709 0.3498
H36 0.4326 0.1474 0.5105
H37 0.4445 0.4329 0.3060
H38 0.4529 0.0846 0.8072
H39 0.4688 0.2675 0.0075
H40 0.4977 0.9714 0.1782
H41 0.5175 0.2188 0.5075
H42 0.5278 0.6684 0.4036
H43 0.5696 0.5433 0.3218
H44 0.6056 0.1015 0.9899
H45 0.6117 0.6015 0.4959
H46 0.6268 0.9329 0.9884
H47 0.6369 0.9221 0.4895
H48 0.6721 0.6826 0.7852
H49 0.6758 0.0581 0.1563
H50 0.6783 0.5067 0.6074
H51 0.6829 0.1945 0.8060
H52 0.7113 0.0100 0.4925
H53 0.7214 0.0433 0.9737
H54 0.7211 0.0706 0.6502
H55 0.7567 0.4283 0.1074
H56 0.7600 0.7675 0.7987
H57 0.7648 0.1684 0.1407
H58 0.7695 0.6518 0.3437
H59 0.7773 0.5846 0.6317
H60 0.7933 0.3196 0.8218
H61 0.8081 0.1519 0.8823
H62 0.8206 0.6704 0.8495
H63 0.8209 0.9283 0.6716
H64 0.8209 0.9711 0.1505
H65 0.8346 0.5273 0.1317
H66 0.8515 0.3617 0.9959
H67 0.8657 0.8617 0.5101
H68 0.8741 0.7778 0.3593
H69 0.8885 0.6945 0.5116
H70 0.8957 0.0273 0.6928
H71 0.8974 0.8869 0.2148
H72 0.8993 0.0709 0.3926
H73 0.9018 0.5195 0.8437
H74 0.9184 0.2778 0.9036
H75 0.9204 0.5706 0.3495
H76 0.9326 0.4221 0.2852
H77 0.9445 0.6385 0.0116
H78 0.9529 0.1457 0.3683
H79 0.9688 0.9613 0.2013
H80 0.9977 0.8196 0.5263
Se1 0.0495 0.2024 0.8409
Se2 0.0659 0.2157 0.1310
Se3 0.0846 0.9349 0.8690
Se4 0.1028 0.9536 0.1641
Se5 0.1849 0.8346 0.3690
Se6 0.1887 0.5395 0.3359
Se7 0.2036 0.8528 0.6641
Se8 0.2895 0.4536 0.8507
Se9 0.3615 0.2085 0.1591
Se10 0.4524 0.7995 0.3409
Se11 0.4585 0.1115 0.6591
Se12 0.4657 0.8159 0.6310
Se13 0.5495 0.7085 0.8470
Se14 0.5659 0.4349 0.8503
Se15 0.5846 0.7157 0.1497
Se16 0.6028 0.4387 0.1493
Se17 0.6849 0.3159 0.3503
Se18 0.6887 0.3528 0.6493
Se19 0.7036 0.0395 0.3507
Se20 0.7895 0.9387 0.8359
Se21 0.8615 0.7024 0.1530
Se22 0.9524 0.6115 0.6530
Se23 0.9585 0.2995 0.3470
Se24 0.9657 0.3346 0.6497
N1 0.0437 0.6516 0.9562
N2 0.1946 0.1131 0.6816
N3 0.1954 0.1516 0.6078
N4 0.2008 0.5724 0.1139
N5 0.2159 0.6584 0.7252
N6 0.2407 0.4659 0.0575
N7 0.2630 0.4446 0.5815
N8 0.3224 0.7086 0.8716
N9 0.3369 0.2086 0.3861
N10 0.3375 0.4454 0.5438
N11 0.3631 0.9446 0.1816
N12 0.4016 0.9454 0.1078
N13 0.4084 0.1832 0.9425
N14 0.4315 0.5130 0.3184
N15 0.4332 0.1584 0.4425
N16 0.4586 0.0869 0.8861
N17 0.5437 0.5875 0.3922
N18 0.6946 0.0130 0.0815
N19 0.6954 0.0875 0.0438
N20 0.7008 0.5869 0.6284
N21 0.7159 0.9907 0.5575
N22 0.7407 0.6832 0.7748
N23 0.7630 0.1815 0.8184
N24 0.8224 0.9508 0.6139
N25 0.8369 0.4508 0.1284
N26 0.8375 0.2937 0.8922
N27 0.8631 0.6815 0.4185
N28 0.9016 0.7937 0.4562
N29 0.9084 0.9659 0.2252
N30 0.9315 0.6131 0.9185
N31 0.9332 0.4907 0.2748
N32 0.9586 0.0724 0.3716

Calculated values
- magnetization (μB per cell) = 0.00
- SG = I4_1cd, No. 110
- total energy (eV/atom) = -4.901

---

Entry 4:
Computed, not measured: GeTeHN2 after structural relaxation at the GGA-PBEsol level of DFT.

Lattice parameters (Å, degrees): 4.1455 4.1455 3.4280 90.00 90.00 90.00
Fractional coordinates of all 5 atoms:
Ge1 0.0000 0.0000 0.0000
Te1 0.5000 0.5000 0.0000
H1 0.5000 0.5000 0.5000
N1 0.0000 0.5000 0.5000
N2 0.5000 0.0000 0.5000

Calculated values
- magnetization (μB per cell) = 0.88
- SG = P4/mmm, No. 123
- total energy (eV/atom) = -4.027

---

Entry 5:
Computed, not measured: Na2GeH14S3O7 after structural relaxation at the GGA-PBEsol level of DFT.

Lattice parameters (Å, degrees): 6.9788 9.2036 10.0566 93.44 95.12 105.09
Fractional coordinates of all 54 atoms:
Na1 0.0870 0.4720 0.1617
Na2 0.2911 0.3712 0.4439
Na3 0.7089 0.6288 0.5561
Na4 0.9130 0.5280 0.8383
Ge1 0.4359 0.0925 0.8881
Ge2 0.5641 0.9075 0.1119
H1 0.0136 0.1628 0.2457
H2 0.0411 0.7541 0.0531
H3 0.0573 0.8649 0.5063
H4 0.0735 0.6439 0.3934
H5 0.1025 0.1473 0.6179
H6 0.1815 0.3336 0.9267
H7 0.2175 0.1792 0.1872
H8 0.2711 0.7586 0.7759
H9 0.3010 0.6637 0.4187
H10 0.3379 0.6646 0.8919
H11 0.3587 0.5558 0.7028
H12 0.4368 0.1292 0.5594
H13 0.4503 0.8570 0.5719
H14 0.4560 0.4236 0.7240
H15 0.5440 0.5764 0.2760
H16 0.5497 0.1430 0.4281
H17 0.5632 0.8708 0.4406
H18 0.6413 0.4442 0.2972
H19 0.6621 0.3354 0.1081
H20 0.6990 0.3363 0.5813
H21 0.7289 0.2414 0.2241
H22 0.7825 0.8208 0.8128
H23 0.8185 0.6664 0.0733
H24 0.8975 0.8527 0.3821
H25 0.9265 0.3561 0.6066
H26 0.9427 0.1351 0.4937
H27 0.9589 0.2459 0.9469
H28 0.9864 0.8372 0.7543
S1 0.2743 0.9804 0.6959
S2 0.2816 0.9833 0.0628
S3 0.4932 0.3333 0.9179
S4 0.5068 0.6667 0.0821
S5 0.7184 0.0167 0.9372
S6 0.7257 0.0196 0.3041
O1 0.0414 0.2084 0.5574
O2 0.0473 0.3477 0.9409
O3 0.1421 0.2377 0.2368
O4 0.1747 0.5875 0.3804
O5 0.2532 0.6544 0.8038
O6 0.4302 0.4904 0.6543
O7 0.5000 0.2024 0.4964
O8 0.5000 0.7976 0.5036
O9 0.5698 0.5096 0.3457
O10 0.7468 0.3456 0.1962
O11 0.8253 0.4125 0.6196
O12 0.8579 0.7623 0.7632
O13 0.9527 0.6523 0.0591
O14 0.9586 0.7916 0.4426

Calculated values
- magnetization (μB per cell) = 0.00
- SG = P-1, No. 2
- total energy (eV/atom) = -4.854

---

Entry 6:
Computed, not measured: Na2SnGe2H2O8 after structural relaxation at the GGA-PBEsol level of DFT.

Lattice parameters (Å, degrees): 5.5342 5.8797 11.3748 88.08 79.90 75.52
Fractional coordinates of all 30 atoms:
Na1 0.0112 0.1757 0.3481
Na2 0.2655 0.4147 0.0630
Na3 0.7345 0.5853 0.9370
Na4 0.9888 0.8243 0.6519
Sn1 0.0000 0.0000 0.0000
Sn2 0.5000 0.0000 0.5000
Ge1 0.1803 0.2816 0.7498
Ge2 0.3263 0.5610 0.3747
Ge3 0.6737 0.4390 0.6253
Ge4 0.8197 0.7184 0.2502
H1 0.3058 0.6896 0.8538
H2 0.3503 0.9684 0.1243
H3 0.6497 0.0316 0.8757
H4 0.6942 0.3104 0.1462
O1 0.1317 0.5555 0.2653
O2 0.1680 0.2470 0.9027
O3 0.1718 0.0563 0.1402
O4 0.2442 0.8353 0.4453
O5 0.2786 0.3252 0.4649
O6 0.2955 0.0214 0.6687
O7 0.3072 0.7310 0.9371
O8 0.3589 0.4982 0.7099
O9 0.6411 0.5018 0.2901
O10 0.6928 0.2690 0.0629
O11 0.7045 0.9786 0.3313
O12 0.7214 0.6748 0.5351
O13 0.7558 0.1647 0.5547
O14 0.8282 0.9437 0.8598
O15 0.8320 0.7530 0.0973
O16 0.8683 0.4445 0.7347

Calculated values
- magnetization (μB per cell) = 0.00
- SG = P-1, No. 2
- total energy (eV/atom) = -5.997

---

Entry 7:
Computed, not measured: NaGeP2H after structural relaxation at the GGA-PBEsol level of DFT.

Lattice parameters (Å, degrees): 4.6126 4.6126 5.7803 90.00 90.00 90.00
Fractional coordinates of all 5 atoms:
Na1 0.0000 0.0000 0.0000
Ge1 0.0000 0.0000 0.5000
P1 0.0000 0.5000 0.5000
P2 0.5000 0.0000 0.5000
H1 0.5000 0.5000 0.0000

Calculated values
- magnetization (μB per cell) = 0.89
- SG = P4/mmm, No. 123
- total energy (eV/atom) = -3.295

---

Entry 8:
Computed, not measured: Nb2GeH2 after structural relaxation at the GGA-PBEsol level of DFT.

Lattice parameters (Å, degrees): 3.2239 3.2239 10.7043 90.00 90.00 90.00
Fractional coordinates of all 10 atoms:
Nb1 0.0000 0.0000 0.1364
Nb2 0.0000 0.0000 0.8636
Nb3 0.5000 0.5000 0.3636
Nb4 0.5000 0.5000 0.6364
Ge1 0.0000 0.0000 0.5000
Ge2 0.5000 0.5000 0.0000
H1 0.0000 0.5000 0.2500
H2 0.0000 0.5000 0.7500
H3 0.5000 0.0000 0.2500
H4 0.5000 0.0000 0.7500

Calculated values
- magnetization (μB per cell) = 0.00
- SG = I4/mmm, No. 139
- total energy (eV/atom) = -6.920